[1]
This record from Alexandria describes a relaxed BeNb3Ga crystal. The functional is GGA-PBEsol.

For the raw total energy, the calculation gives -7.581 eV/atom. For the calculated density, the calculation gives 7.14 g/cm3. The density of states at the Fermi level is 1.28 states/eV/f.u. For the volume, the calculation gives 16.62 Å³/atom.

Cell and atoms, written as CIF:
```
data_BeNb3Ga
_chemical_formula_sum 'Be1 Nb3 Ga1'
_cell_length_a 4.363
_cell_length_b 4.363
_cell_length_c 4.363
_cell_angle_alpha 90.00
_cell_angle_beta 90.00
_cell_angle_gamma 90.00
_space_group_name_H-M_alt 'P m -3 m'
_space_group_IT_number 221
_space_group_name_Hall '-P 4 2 3'
loop_
_atom_site_label
_atom_site_type_symbol
_atom_site_fract_x
_atom_site_fract_y
_atom_site_fract_z
Be1 Be 0.000 0.000 0.000
Nb1 Nb 0.000 0.000 0.500
Ga1 Ga 0.500 0.500 0.500
```



[2]
This record from Alexandria describes a relaxed Ba5Sn2S8 crystal. The functional is GGA-PBEsol.

Its raw formation energy is -1.536 eV/atom. For the calculated density, the calculation gives 4.73 g/cm3. For the volume, the calculation gives 27.62 Å³/atom.

Cell and atoms, written as CIF:
```
data_Ba5Sn2S8
_chemical_formula_sum 'Ba40 Sn16 S64'
_cell_length_a 23.666
_cell_length_b 11.790
_cell_length_c 11.876
_cell_angle_alpha 90.00
_cell_angle_beta 90.00
_cell_angle_gamma 90.00
_space_group_name_H-M_alt 'C m c e'
_space_group_IT_number 64
_space_group_name_Hall '-C 2ac 2'
loop_
_atom_site_label
_atom_site_type_symbol
_atom_site_fract_x
_atom_site_fract_y
_atom_site_fract_z
Ba1 Ba 0.095 0.004 0.164
Ba2 Ba 0.097 0.162 0.496
Ba3 Ba 0.250 0.248 0.750
Sn1 Sn 0.000 0.243 0.745
Sn2 Sn 0.250 0.000 0.000
S1 S 0.000 0.039 0.647
S2 S 0.000 0.154 0.955
S3 S 0.114 0.244 0.748
S4 S 0.186 0.004 0.346
S5 S 0.186 0.154 0.998
```



[3]
This record from Alexandria describes a relaxed Rb2CoB12H20O30 crystal. The functional is GGA-PBEsol.

For the raw total energy, the calculation gives -6.651 eV/atom. For the calculated density, the calculation gives 2.39 g/cm3. The density of states at the Fermi level is 1.86 states/eV/f.u. For the volume, the calculation gives 9.20 Å³/atom.

Cell and atoms, written as CIF:
```
data_Rb2CoB12H20O30
_chemical_formula_sum 'Rb2 Co1 B12 H20 O30'
_cell_length_a 7.527
_cell_length_b 7.791
_cell_length_c 10.790
_cell_angle_alpha 108.51
_cell_angle_beta 94.20
_cell_angle_gamma 91.38
_space_group_name_H-M_alt 'P -1'
_space_group_IT_number 2
_space_group_name_Hall '-P 1'
loop_
_atom_site_label
_atom_site_type_symbol
_atom_site_fract_x
_atom_site_fract_y
_atom_site_fract_z
Rb1 Rb 0.236 0.365 0.397
Co1 Co 0.500 0.000 0.000
B1 B 0.038 0.244 0.960
B2 B 0.146 0.852 0.555
B3 B 0.169 0.987 0.796
B4 B 0.335 0.302 0.888
B5 B 0.375 0.110 0.649
B6 B 0.387 0.439 0.712
H1 H 0.111 0.696 0.362
H2 H 0.122 0.564 0.943
H3 H 0.195 0.020 0.122
H4 H 0.216 0.809 0.898
H5 H 0.218 0.541 0.139
H6 H 0.313 0.725 0.241
H7 H 0.369 0.012 0.215
H8 H 0.369 0.707 0.744
H9 H 0.373 0.948 0.404
H10 H 0.474 0.641 0.956
O1 O 0.034 0.066 0.886
O2 O 0.065 0.716 0.450
O3 O 0.082 0.872 0.674
O4 O 0.099 0.696 0.962
O5 O 0.175 0.365 0.961
O6 O 0.225 0.622 0.230
O7 O 0.280 0.137 0.773
O8 O 0.284 0.963 0.542
O9 O 0.291 0.882 0.856
O10 O 0.322 0.065 0.144
O11 O 0.371 0.275 0.616
O12 O 0.391 0.451 0.843
O13 O 0.396 0.591 0.674
O14 O 0.439 0.929 0.322
O15 O 0.472 0.252 0.970
```



[4]
This record from Alexandria describes a relaxed TlBiPdRu2 crystal. The functional is GGA-PBEsol.

For the raw total energy, the calculation gives -5.226 eV/atom. For the calculated density, the calculation gives 10.43 g/cm3. The density of states at the Fermi level is 7.12 states/eV/f.u. For the volume, the calculation gives 22.98 Å³/atom.

Cell and atoms, written as CIF:
```
data_TlBiPdRu2
_chemical_formula_sum 'Tl1 Bi1 Pd1 Ru2'
_cell_length_a 4.831
_cell_length_b 4.831
_cell_length_c 4.925
_cell_angle_alpha 90.00
_cell_angle_beta 90.00
_cell_angle_gamma 90.00
_space_group_name_H-M_alt 'P 4/m m m'
_space_group_IT_number 123
_space_group_name_Hall '-P 4 2'
loop_
_atom_site_label
_atom_site_type_symbol
_atom_site_fract_x
_atom_site_fract_y
_atom_site_fract_z
Tl1 Tl 0.000 0.000 0.000
Bi1 Bi 0.500 0.500 0.000
Pd1 Pd 0.000 0.000 0.500
Ru1 Ru 0.000 0.500 0.500
```